# 1
# AgO4 GGA-PBE relaxed
data_AgO4
_symmetry_space_group_name_H-M 'P 1'
_symmetry_Int_Tables_number 1
_cell_length_a 4.322
_cell_length_b 2.828
_cell_length_c 4.892
_cell_angle_alpha 90.00
_cell_angle_beta 93.19
_cell_angle_gamma 90.00
loop_
_symmetry_equiv_pos_as_xyz
'x,y,z'
loop_
_atom_site_label
_atom_site_type_symbol
_atom_site_fract_x
_atom_site_fract_y
_atom_site_fract_z
_atom_site_occupancy
Ag1 Ag 0.000 0.000 0.000 1
O1 O 0.122 0.000 0.584 1
O2 O 0.402 0.500 0.099 1
O3 O 0.598 0.500 0.901 1
O4 O 0.878 0.000 0.416 1
# volume: 59.7 Å³/cell
# space-group type: No. 10
# electronic total energy: -21.66 eV for the cell shown

# 2
# Ag2O GGA-PBE relaxed
data_Ag2O
_symmetry_space_group_name_H-M 'P 1'
_symmetry_Int_Tables_number 1
_cell_length_a 8.002
_cell_length_b 3.861
_cell_length_c 8.517
_cell_angle_alpha 69.14
_cell_angle_beta 26.80
_cell_angle_gamma 84.06
loop_
_symmetry_equiv_pos_as_xyz
'x,y,z'
loop_
_atom_site_label
_atom_site_type_symbol
_atom_site_fract_x
_atom_site_fract_y
_atom_site_fract_z
_atom_site_occupancy
Ag1 Ag 0.236 0.764 0.391 1
Ag2 Ag 0.641 0.859 0.486 1
Ag3 Ag 0.764 0.236 0.609 1
Ag4 Ag 0.859 0.641 0.014 1
O1 O 0.256 0.256 0.744 1
O2 O 0.506 0.506 0.994 1
# volume: 95.5 Å³/cell
# space-group type: No. 43
# electronic total energy: -20.19 eV for the cell shown
# energy relative to the lowest polymorph listed for this composition: 0.630 eV per formula unit

# 3
# Ag2O GGA-PBE relaxed
data_Ag2O
_symmetry_space_group_name_H-M 'P 1'
_symmetry_Int_Tables_number 1
_cell_length_a 5.922
_cell_length_b 5.922
_cell_length_c 5.922
_cell_angle_alpha 90.00
_cell_angle_beta 90.00
_cell_angle_gamma 90.00
loop_
_symmetry_equiv_pos_as_xyz
'x,y,z'
loop_
_atom_site_label
_atom_site_type_symbol
_atom_site_fract_x
_atom_site_fract_y
_atom_site_fract_z
_atom_site_occupancy
Ag1 Ag 0.000 0.000 0.000 1
Ag2 Ag 0.000 0.500 0.500 1
Ag3 Ag 0.250 0.250 0.250 1
Ag4 Ag 0.250 0.750 0.750 1
Ag5 Ag 0.500 0.000 0.500 1
Ag6 Ag 0.500 0.500 0.000 1
Ag7 Ag 0.750 0.250 0.750 1
Ag8 Ag 0.750 0.750 0.250 1
O1 O 0.250 0.250 0.750 1
O2 O 0.250 0.750 0.250 1
O3 O 0.750 0.250 0.250 1
O4 O 0.750 0.750 0.750 1
# volume: 207.7 Å³/cell
# space-group type: No. 216
# electronic total energy: -36.52 eV for the cell shown
# energy relative to the lowest polymorph listed for this composition: 1.594 eV per formula unit

# 4
# Ag2O GGA-PBE relaxed
data_Ag2O
_symmetry_space_group_name_H-M 'P 1'
_symmetry_Int_Tables_number 1
_cell_length_a 5.584
_cell_length_b 5.584
_cell_length_c 3.094
_cell_angle_alpha 90.00
_cell_angle_beta 90.00
_cell_angle_gamma 90.00
loop_
_symmetry_equiv_pos_as_xyz
'x,y,z'
loop_
_atom_site_label
_atom_site_type_symbol
_atom_site_fract_x
_atom_site_fract_y
_atom_site_fract_z
_atom_site_occupancy
Ag1 Ag 0.222 0.222 0.000 1
Ag2 Ag 0.278 0.722 0.500 1
Ag3 Ag 0.722 0.278 0.500 1
Ag4 Ag 0.778 0.778 0.000 1
O1 O 0.000 0.000 0.500 1
O2 O 0.500 0.500 0.000 1
# volume: 96.5 Å³/cell
# space-group type: No. 136
# electronic total energy: -21.09 eV for the cell shown
# energy relative to the lowest polymorph listed for this composition: 0.178 eV per formula unit

# 5
# AgO GGA-PBE relaxed
data_AgO
_symmetry_space_group_name_H-M 'P 1'
_symmetry_Int_Tables_number 1
_cell_length_a 5.012
_cell_length_b 5.012
_cell_length_c 5.012
_cell_angle_alpha 90.00
_cell_angle_beta 90.00
_cell_angle_gamma 90.00
loop_
_symmetry_equiv_pos_as_xyz
'x,y,z'
loop_
_atom_site_label
_atom_site_type_symbol
_atom_site_fract_x
_atom_site_fract_y
_atom_site_fract_z
_atom_site_occupancy
Ag1 Ag 0.000 0.000 0.000 1
Ag2 Ag 0.000 0.500 0.500 1
Ag3 Ag 0.500 0.000 0.500 1
Ag4 Ag 0.500 0.500 0.000 1
O1 O 0.250 0.250 0.750 1
O2 O 0.250 0.750 0.250 1
O3 O 0.750 0.250 0.250 1
O4 O 0.750 0.750 0.750 1
# volume: 125.9 Å³/cell
# space-group type: No. 216
# electronic total energy: -29.44 eV for the cell shown

# 6
# Ag4O5 GGA-PBE relaxed
data_Ag4O5
_symmetry_space_group_name_H-M 'P 1'
_symmetry_Int_Tables_number 1
_cell_length_a 3.854
_cell_length_b 3.854
_cell_length_c 8.435
_cell_angle_alpha 90.00
_cell_angle_beta 90.00
_cell_angle_gamma 90.00
loop_
_symmetry_equiv_pos_as_xyz
'x,y,z'
loop_
_atom_site_label
_atom_site_type_symbol
_atom_site_fract_x
_atom_site_fract_y
_atom_site_fract_z
_atom_site_occupancy
Ag1 Ag 0.000 0.000 0.000 1
Ag2 Ag 0.000 0.000 0.500 1
Ag3 Ag 0.500 0.500 0.239 1
Ag4 Ag 0.500 0.500 0.761 1
O1 O 0.000 0.500 0.161 1
O2 O 0.000 0.500 0.839 1
O3 O 0.500 0.000 0.161 1
O4 O 0.500 0.000 0.839 1
O5 O 0.500 0.500 0.500 1
# volume: 125.3 Å³/cell
# space-group type: No. 123
# electronic total energy: -33.09 eV for the cell shown

Look up the electronic total energy of the third one. -36.52 eV for the cell shown

What is the electronic total energy in the sixth record? -33.09 eV for the cell shown